(1)
Compound: Nd6GaOs2Br3
Source: Alexandria
Functional: PBE-GGA
Structure: optimized geometry

Computed properties:
D(E_F), states/eV per cell: 8.553
Electronic total energy, Ry per atom: -0.4182
ρ, g/cm³: 7.25
Formation energy (no corrections), meV per atom: -764

```
data_Nd6GaOs2Br3
_chemical_formula_sum 'Nd6 Ga1 Os2 Br3'
_cell_length_a 7.2746
_cell_length_b 7.2746
_cell_length_c 8.1571
_cell_angle_alpha 98.56
_cell_angle_beta 98.56
_cell_angle_gamma 120.10
_symmetry_space_group_name_H-M 'P 1'
_symmetry_Int_Tables_number 1
_symmetry_space_group_name_Hall 'P 1'
loop_
_atom_site_label
_atom_site_fract_x
_atom_site_fract_y
_atom_site_fract_z
Nd1 0.0779 0.4338 0.7994
Nd2 0.2123 0.2123 0.2018
Nd3 0.4338 0.0779 0.7994
Nd4 0.5662 0.9221 0.2006
Nd5 0.7877 0.7877 0.7982
Nd6 0.9221 0.5662 0.2006
Ga1 0.5000 0.5000 0.0000
Os1 0.1661 0.8339 0.0000
Os2 0.8339 0.1661 0.0000
Br1 0.0000 0.0000 0.5000
Br2 0.3337 0.6663 0.5000
Br3 0.6663 0.3337 0.5000
```

(2)
Compound: HoMg2Sc3
Source: Alexandria
Functional: PBE-GGA
Structure: optimized geometry

Computed properties:
D(E_F), states/eV per cell: 7.937
Formation enthalpy at 0 K, meV/atom: -9
Electronic total energy, Ry per atom: -0.3285
ρ, g/cm³: 3.89

```
data_HoMg2Sc3
_chemical_formula_sum 'Ho1 Mg2 Sc3'
_cell_length_a 3.4507
_cell_length_b 3.4507
_cell_length_c 12.4988
_cell_angle_alpha 90.00
_cell_angle_beta 90.00
_cell_angle_gamma 90.00
_symmetry_space_group_name_H-M 'P 1'
_symmetry_Int_Tables_number 1
_symmetry_space_group_name_Hall 'P 1'
loop_
_atom_site_label
_atom_site_fract_x
_atom_site_fract_y
_atom_site_fract_z
Ho1 0.0000 0.0000 0.0000
Mg1 0.0000 0.0000 0.3452
Mg2 0.0000 0.0000 0.6548
Sc1 0.5000 0.5000 0.1872
Sc2 0.5000 0.5000 0.5000
Sc3 0.5000 0.5000 0.8128
```

(3)
Compound: BaLi2NbCu
Source: Alexandria
Functional: PBE-GGA
Structure: optimized geometry

Computed properties:
D(E_F), states/eV per cell: 6.365
Formation enthalpy at 0 K, meV/atom: 774
Electronic total energy, Ry per atom: -0.2359
ρ, g/cm³: 3.61

```
data_BaLi2NbCu
_chemical_formula_sum 'Ba1 Li2 Nb1 Cu1'
_cell_length_a 5.3187
_cell_length_b 5.3187
_cell_length_c 5.0073
_cell_angle_alpha 90.00
_cell_angle_beta 90.00
_cell_angle_gamma 90.00
_symmetry_space_group_name_H-M 'P 1'
_symmetry_Int_Tables_number 1
_symmetry_space_group_name_Hall 'P 1'
loop_
_atom_site_label
_atom_site_fract_x
_atom_site_fract_y
_atom_site_fract_z
Ba1 0.0000 0.0000 0.0000
Li1 0.0000 0.5000 0.5000
Li2 0.5000 0.0000 0.5000
Nb1 0.5000 0.5000 0.5000
Cu1 0.5000 0.5000 0.0000
```